Entry 1:
First-principles (GGA-PBE) data for a relaxed structure of Ce6ErCo3, as listed in Alexandria.

Calculated values
Energy of formation = -73.1 kJ/mol of formula units
Space-group type = Cmc2_1 (36)

Cell lengths 8.186, 8.186, 6.873 Å; angles 90.00, 90.00, 91.03 degrees
Fractional coordinates of all 20 atoms:
Ce (0.006, 0.468, 0.130)
Ce (0.029, 0.971, 0.500)
Ce (0.295, 0.302, 0.893)
Ce (0.302, 0.295, 0.393)
Ce (0.318, 0.682, 0.396)
Ce (0.468, 0.006, 0.630)
Ce (0.532, 0.994, 0.130)
Ce (0.682, 0.318, 0.896)
Ce (0.698, 0.705, 0.893)
Ce (0.705, 0.698, 0.393)
Ce (0.971, 0.029, 0.000)
Ce (0.994, 0.532, 0.630)
Er (0.277, 0.723, 0.912)
Er (0.723, 0.277, 0.412)
Co (0.008, 0.750, 0.199)
Co (0.250, 0.992, 0.199)
Co (0.479, 0.521, 0.155)
Co (0.521, 0.479, 0.655)
Co (0.750, 0.008, 0.699)
Co (0.992, 0.250, 0.699)



Entry 2:
First-principles (GGA-PBE) data for a relaxed structure of CeEr3Co8, as listed in Alexandria.

Calculated values
Energy of formation = -255.2 kJ/mol of formula units
Space-group type = R3m (160)

Cell lengths 8.829, 8.829, 8.829 Å; angles 32.67, 32.67, 32.67 degrees
Fractional coordinates of all 12 atoms:
Ce (0.000, 0.000, 0.000)
Er (0.377, 0.377, 0.377)
Er (0.501, 0.501, 0.501)
Er (0.877, 0.877, 0.877)
Co (0.189, 0.189, 0.189)
Co (0.438, 0.438, 0.940)
Co (0.438, 0.940, 0.438)
Co (0.440, 0.940, 0.940)
Co (0.689, 0.689, 0.689)
Co (0.940, 0.438, 0.438)
Co (0.940, 0.440, 0.940)
Co (0.940, 0.940, 0.440)



Entry 3:
First-principles (GGA-PBE) data for a relaxed structure of CeEr2Co, as listed in Alexandria.

Calculated values
Energy of formation = 21.8 kJ/mol of formula units
Space-group type = R-3m (166)
Offset from the most stable computed form = 96 kJ/mol of formula units

Cell lengths 9.481, 9.481, 9.481 Å; angles 22.15, 22.15, 22.15 degrees
Fractional coordinates of all 4 atoms:
Ce (0.000, 0.000, 0.000)
Er (0.223, 0.223, 0.223)
Er (0.777, 0.777, 0.777)
Co (0.500, 0.500, 0.500)



Entry 4:
First-principles (GGA-PBE) data for a relaxed structure of CeErCo10, as listed in Alexandria.

Calculated values
Energy of formation = -140.6 kJ/mol of formula units
Space-group type = Pmmm (47)

Cell lengths 3.975, 4.884, 8.481 Å; angles 90.00, 90.00, 90.00 degrees
Fractional coordinates of all 12 atoms:
Ce (0.000, 0.000, 0.000)
Er (0.000, 0.500, 0.500)
Co (0.000, 0.000, 0.319)
Co (0.000, 0.000, 0.681)
Co (0.000, 0.500, 0.164)
Co (0.000, 0.500, 0.836)
Co (0.500, 0.000, 0.500)
Co (0.500, 0.258, 0.257)
Co (0.500, 0.258, 0.743)
Co (0.500, 0.500, 0.000)
Co (0.500, 0.742, 0.257)
Co (0.500, 0.742, 0.743)



Entry 5:
First-principles (GGA-PBE) data for a relaxed structure of CeEr2Co, as listed in Alexandria.

Calculated values
Energy of formation = -74.7 kJ/mol of formula units
Space-group type = Pnma (62)
Offset from the most stable computed form = 0 kJ/mol of formula units

Cell lengths 6.764, 9.445, 6.250 Å; angles 90.00, 90.00, 90.00 degrees
Fractional coordinates of all 16 atoms:
Ce (0.059, 0.250, 0.148)
Ce (0.441, 0.750, 0.648)
Ce (0.559, 0.250, 0.352)
Ce (0.941, 0.750, 0.852)
Er (0.168, 0.067, 0.674)
Er (0.168, 0.433, 0.674)
Er (0.332, 0.567, 0.174)
Er (0.332, 0.933, 0.174)
Er (0.668, 0.067, 0.826)
Er (0.668, 0.433, 0.826)
Er (0.832, 0.567, 0.326)
Er (0.832, 0.933, 0.326)
Co (0.137, 0.750, 0.483)
Co (0.363, 0.250, 0.983)
Co (0.637, 0.750, 0.017)
Co (0.863, 0.250, 0.517)



Entry 6:
First-principles (GGA-PBE) data for a relaxed structure of Ce2Er3Co2, as listed in Alexandria.

Calculated values
Energy of formation = -125.8 kJ/mol of formula units
Space-group type = P-1 (2)

Cell lengths 3.545, 6.128, 8.652 Å; angles 102.12, 101.76, 106.80 degrees
Fractional coordinates of all 7 atoms:
Ce (0.137, 0.456, 0.319)
Ce (0.863, 0.544, 0.681)
Er (0.000, 0.000, 0.500)
Er (0.305, 0.190, 0.922)
Er (0.695, 0.810, 0.078)
Co (0.453, 0.144, 0.263)
Co (0.547, 0.856, 0.737)



Entry 7:
First-principles (GGA-PBE) data for a relaxed structure of CeEr12Co6, as listed in Alexandria.

Calculated values
Energy of formation = -249.2 kJ/mol of formula units
Space-group type = Im-3 (204)

Cell lengths 8.373, 8.373, 8.373 Å; angles 109.47, 109.47, 109.47 degrees
Fractional coordinates of all 19 atoms:
Ce (0.000, 0.000, 0.000)
Er (0.115, 0.308, 0.807)
Er (0.193, 0.501, 0.308)
Er (0.193, 0.885, 0.692)
Er (0.308, 0.193, 0.501)
Er (0.308, 0.807, 0.115)
Er (0.499, 0.692, 0.807)
Er (0.501, 0.308, 0.193)
Er (0.692, 0.193, 0.885)
Er (0.692, 0.807, 0.499)
Er (0.807, 0.115, 0.308)
Er (0.807, 0.499, 0.692)
Er (0.885, 0.692, 0.193)
Co (0.114, 0.500, 0.614)
Co (0.386, 0.886, 0.500)
Co (0.500, 0.386, 0.886)
Co (0.500, 0.614, 0.114)
Co (0.614, 0.114, 0.500)
Co (0.886, 0.500, 0.386)



Entry 8:
First-principles (GGA-PBE) data for a relaxed structure of CeEr6Co3, as listed in Alexandria.

Calculated values
Energy of formation = -181.2 kJ/mol of formula units
Space-group type = Cmc2_1 (36)

Cell lengths 8.305, 8.305, 7.026 Å; angles 90.00, 90.00, 101.32 degrees
Fractional coordinates of all 20 atoms:
Ce (0.214, 0.786, 0.500)
Ce (0.786, 0.214, 0.000)
Er (0.029, 0.971, 0.837)
Er (0.040, 0.413, 0.674)
Er (0.300, 0.372, 0.320)
Er (0.321, 0.679, 0.951)
Er (0.372, 0.300, 0.820)
Er (0.413, 0.040, 0.174)
Er (0.587, 0.960, 0.674)
Er (0.628, 0.700, 0.320)
Er (0.679, 0.321, 0.451)
Er (0.700, 0.628, 0.820)
Er (0.960, 0.587, 0.174)
Er (0.971, 0.029, 0.337)
Co (0.067, 0.297, 0.041)
Co (0.297, 0.067, 0.541)
Co (0.402, 0.598, 0.615)
Co (0.598, 0.402, 0.115)
Co (0.703, 0.933, 0.041)
Co (0.933, 0.703, 0.541)



Entry 9:
First-principles (GGA-PBE) data for a relaxed structure of Ce3ErCo2, as listed in Alexandria.

Calculated values
Energy of formation = -81.6 kJ/mol of formula units
Space-group type = C2/m (12)

Cell lengths 8.951, 8.951, 8.866 Å; angles 105.40, 105.40, 22.92 degrees
Fractional coordinates of all 12 atoms:
Ce (0.036, 0.036, 0.183)
Ce (0.307, 0.307, 0.642)
Ce (0.344, 0.344, 0.037)
Ce (0.656, 0.656, 0.963)
Ce (0.693, 0.693, 0.358)
Ce (0.964, 0.964, 0.817)
Er (0.108, 0.108, 0.604)
Er (0.892, 0.892, 0.396)
Co (0.254, 0.254, 0.208)
Co (0.488, 0.488, 0.635)
Co (0.512, 0.512, 0.365)
Co (0.746, 0.746, 0.792)



Entry 10:
First-principles (GGA-PBE) data for a relaxed structure of Ce4Er3Co4, as listed in Alexandria.

Calculated values
Energy of formation = -139.9 kJ/mol of formula units
Space-group type = Immm (71)

Cell lengths 8.699, 8.699, 8.699 Å; angles 156.88, 114.21, 70.75 degrees
Fractional coordinates of all 11 atoms:
Ce (0.031, 0.835, 0.196)
Ce (0.361, 0.165, 0.196)
Ce (0.639, 0.835, 0.804)
Ce (0.969, 0.165, 0.804)
Er (0.000, 0.500, 0.500)
Er (0.387, 0.387, 0.000)
Er (0.613, 0.613, 0.000)
Co (0.213, 0.713, 0.500)
Co (0.265, 0.000, 0.265)
Co (0.735, 0.000, 0.735)
Co (0.787, 0.287, 0.500)



Entry 11:
First-principles (GGA-PBE) data for a relaxed structure of Ce2ErCo2, as listed in Alexandria.

Calculated values
Energy of formation = -29.4 kJ/mol of formula units
Space-group type = C2/m (12)
Offset from the most stable computed form = 62 kJ/mol of formula units

Cell lengths 5.093, 5.093, 5.245 Å; angles 119.92, 119.92, 79.43 degrees
Fractional coordinates of all 5 atoms:
Ce (0.227, 0.773, 0.000)
Ce (0.773, 0.227, 0.000)
Er (0.500, 0.500, 0.500)
Co (0.195, 0.195, 0.697)
Co (0.805, 0.805, 0.303)



Entry 12:
First-principles (GGA-PBE) data for a relaxed structure of CeErCo2H8, as listed in Alexandria.

Calculated values
Space-group type = R-3m (166)
Uncorrected energy = -4.556 eV per atom

Cell lengths 6.569, 6.569, 6.569 Å; angles 39.41, 39.41, 39.41 degrees
Fractional coordinates of all 12 atoms:
Ce (0.000, 0.000, 0.000)
Er (0.500, 0.500, 0.500)
Co (0.270, 0.270, 0.270)
Co (0.730, 0.730, 0.730)
H (0.047, 0.047, 0.573)
H (0.047, 0.573, 0.047)
H (0.361, 0.361, 0.361)
H (0.427, 0.953, 0.953)
H (0.573, 0.047, 0.047)
H (0.639, 0.639, 0.639)
H (0.953, 0.427, 0.953)
H (0.953, 0.953, 0.427)



| no. | magnetic moment (μB/cell) |
| --- | --- |
| 1 | 0.001 |
| 2 | 0.460 |
| 3 | 1.651 |
| 4 | 12.900 |
| 5 | 1.241 |
| 6 | 0.001 |
| 7 | 1.801 |
| 8 | 0.000 |
| 9 | 0.604 |
| 10 | 0.000 |
| 11 | 0.000 |
| 12 | 2.907 |